Compound: Tb3SmSc
Source: Alexandria via LeMat-Bulk
Functional: GGA-PBE
Structure: relaxed

Computed properties:
The value obtained for the formation enthalpy at 0 K is 0.394 eV/f.u. The value obtained for the total magnetization is 0.000 μB per atom. The value obtained for the energy above the most stable polymorph in this dataset is 0.043 eV/atom. Its symmetry is No. 15. As for the density of states at the Fermi level: 1.532 states/eV/atom.

Cell lengths 10.976, 10.976, 6.524 Å; angles 93.45, 93.45, 52.61 degrees
Element x y z (fractional)
Tb: 0.020 0.132 0.398
Tb: 0.084 0.588 0.921
Tb: 0.132 0.020 0.898
Tb: 0.248 0.454 0.409
Tb: 0.412 0.916 0.579
Tb: 0.454 0.248 0.909
Tb: 0.546 0.752 0.091
Tb: 0.588 0.084 0.421
Tb: 0.752 0.546 0.591
Tb: 0.868 0.980 0.102
Tb: 0.916 0.412 0.079
Tb: 0.980 0.868 0.602
Sm: 0.252 0.748 0.250
Sm: 0.396 0.604 0.750
Sm: 0.604 0.396 0.250
Sm: 0.748 0.252 0.750
Sc: 0.151 0.283 0.680
Sc: 0.283 0.151 0.180
Sc: 0.717 0.849 0.820
Sc: 0.849 0.717 0.320